[1]
Material: KS5
Method: DFT, GGA-PBE
State: relaxed

Unit cell a=5.360 b=13.663 c=3.540 alpha=90.00 beta=90.00 gamma=90.00
Space group Cmmm (No. 65)
Symmetry-distinct sites (fractional):
1 K 0.000 0.000 0.000
2 S 0.000 0.252 0.500
3 S 0.000 0.360 0.000
4 S 0.000 0.500 0.500

Properties
**ΔE_f (raw)**: 8 meV/atom
**E**: -3.614 eV/atom



[2]
Material: NaTl2CoPd
Method: DFT, GGA-PBE
State: relaxed

Unit cell a=4.944 b=4.944 c=4.995 alpha=90.00 beta=90.00 gamma=90.00
Space group P4/mmm (No. 123)
Symmetry-distinct sites (fractional):
1 Na 0.000 0.000 0.000
2 Tl 0.000 0.500 0.500
3 Co 0.000 0.000 0.500
4 Pd 0.500 0.500 0.000

Properties
**E**: -3.126 eV/atom



[3]
Material: YThH2
Method: DFT, GGA-PBE
State: relaxed

Unit cell a=3.5708 b=3.5708 c=17.6908 alpha=90.00 beta=90.00 gamma=120.00
Space group R-3m (No. 166, hexagonal axes)
Symmetry-distinct sites (fractional):
1 Y 0.0000 0.0000 0.0000
2 Th 0.0000 0.0000 0.5000
3 H 0.0000 0.0000 0.2517

Properties
**E**: -5.461 eV/atom